No. 1
DFT (GGA-PBE) results for a relaxed CeB2Ir4 crystal.

The structure in POSCAR format:
```
CeB2Ir4
1.0
0.053 4.716 3.048
-2.362 2.971 -1.715
-3.070 -4.406 1.644
Ce B Ir
1 2 4
Cartesian
0.000 0.000 0.000
-3.365 2.495 0.998
-2.014 0.787 1.979
-4.272 0.747 2.119
-1.106 2.535 0.859
-2.547 2.683 3.100
-2.832 0.599 -0.122
```

symmetry = Immm, No. 71
volume = 102.5 Å³/cell
calculated total energy = -7.9465 eV per atom
DOS(E_F) = 5.3 states/eV/cell
calculated density = 15.070 g/cm3

---

No. 2
DFT (GGA-PBE) results for a relaxed SrLiLa2Te4 crystal.

The structure in POSCAR format:
```
SrLiLa2Te4
1.0
9.175 0.005 0.000
-0.002 9.175 0.000
-4.548 -4.551 6.489
Sr Li La Te
2 2 4 8
Cartesian
-0.001 4.588 0.000
6.900 2.317 3.245
2.313 2.314 3.245
4.627 -4.546 6.490
4.588 0.002 0.000
2.314 -2.273 3.245
-2.274 -2.275 3.245
4.587 4.590 0.000
2.275 6.936 0.026
4.553 0.040 3.219
0.072 4.589 3.270
2.351 -2.307 6.464
2.339 2.384 6.451
4.556 4.603 3.284
0.070 0.026 3.206
2.287 2.245 0.039
```

symmetry = Imma, No. 74
volume = 546.3 Å³/cell
calculated total energy = -4.7487 eV per atom
DOS(E_F) = 6.2 states/eV/cell
E_form (uncorrected) = -1.497 eV per atom
calculated density = 5.366 g/cm3